Below is crystalline RhC3 at its relaxed geometry, with properties calculated at the PBE-GGA level.

Structure (POSCAR):
```
RhC3
1.0
-0.659 3.252 2.020
-2.899 -1.888 2.093
3.935 -1.658 3.954
Rh C
2 6
Direct
0.000 0.967 0.000
0.500 0.033 0.500
0.000 0.695 0.500
0.500 0.305 0.000
0.675 0.616 0.000
0.325 0.616 0.000
0.175 0.384 0.500
0.825 0.384 0.500
```

The value obtained for the total DFT energy (no corrections) is -7.292 eV/atom. The magnetization comes out at 0.0 Bohr magnetons per cell.